DFT (PBE-GGA) results for a relaxed LaPuB crystal.

Properties
ΔE to the lowest computed polymorph, eV per atom: 0.652
V, Å³ per atom: 22.561
Space-group type: No. 216
Calculated total energy, eV per atom: -7.721

Cell and atoms, written as POSCAR:
```
LaPuB
1.0
3.0611 -2.2040 2.5879
-0.8964 -0.8121 4.4116
-0.8492 -4.2668 1.4136
La B Pu
1 1 1
Direct
0.0000 0.0000 0.0000
0.2500 0.2500 0.2500
0.7500 0.7500 0.7500
```